# 1
The following is a PBE calculation of a relaxed NaMn3Se crystal, from the Alexandria database.

Values from the calculation:
- energy above the lowest structure with this stoichiometry (eV/atom) = 0.411
- E_form (uncorrected) (eV per formula unit) = 7.61

a = 4.7752 Å, b = 4.7752 Å, c = 4.7752 Å
α = 90.00°, β = 90.00°, γ = 90.00°
Last column: nearest neighbours and their distance in Å.
Space group Pm-3m (No. 221)
Symmetry-distinct sites (fractional):
Na  0.0000  0.0000  0.0000  6 Mn 2.39
Mn  0.0000  0.0000  0.5000  2 Na 2.39
Se  0.5000  0.5000  0.5000  12 Mn 3.38

# 2
The following is a PBE calculation of a relaxed Cu2AuSe2 crystal, from the Alexandria database.

Values from the calculation:
- energy above the lowest structure with this stoichiometry (eV/atom) = 0.000
- E_form (uncorrected) (eV per formula unit) = 0.08

a = 6.4681 Å, b = 7.4825 Å, c = 4.9066 Å
α = 90.00°, β = 110.73°, γ = 90.00°
Last column: nearest neighbours and their distance in Å.
Space group C2/m (No. 12)
Symmetry-distinct sites (fractional):
Cu  0.2500  0.2500  0.0000  2 Se 2.28
Au  0.0000  0.0000  0.5000  2 Se 2.46
Se  0.2109  0.5000  0.7187  2 Cu 2.28, 1 Au 2.46

# 3
The following is a PBE calculation of a relaxed LaOsPd2Pt crystal, from the Alexandria database.

Values from the calculation:
- ΔE_f (eV per atom) = 0.751

a = 4.7586 Å, b = 4.7586 Å, c = 5.5186 Å
α = 90.00°, β = 90.00°, γ = 90.00°
Last column: nearest neighbours and their distance in Å.
Space group P4/mmm (No. 123)
Symmetry-distinct sites (fractional):
La  0.0000  0.0000  0.0000  2 Os 2.76
Os  0.0000  0.0000  0.5000  4 Pd 2.38
Pd  0.0000  0.5000  0.5000  2 Os 2.38
Pt  0.5000  0.5000  0.0000  4 La 3.36, 8 Pd 3.64

# 4
The following is a PBE calculation of a relaxed LiCdB3 crystal, from the Alexandria database.

Values from the calculation:
- energy above the lowest structure with this stoichiometry (eV/atom) = 0.227
- ΔE_f (eV per atom) = 2.107

a = 4.4503 Å, b = 4.4503 Å, c = 4.4503 Å
α = 90.00°, β = 90.00°, γ = 90.00°
Last column: nearest neighbours and their distance in Å.
Space group Pm-3m (No. 221)
Symmetry-distinct sites (fractional):
Li  0.0000  0.0000  0.0000  12 B 3.15
Cd  0.5000  0.5000  0.5000  6 B 2.23
B  0.0000  0.5000  0.5000  2 Cd 2.23